LuPd: relaxed, PBE-GGA.

- symmetry = F-43m (216)
- uncorrected energy (eV per cell) = -10.02
- DFT formation energy (meV per atom) = -161

abc: 4.378 4.378 4.378
angles: 60.00 60.00 60.00
Fractional positions:
Pd 0.250 0.250 0.250
Lu 0.000 0.000 0.000